Entry 1:
A relaxed structure of CaLa2Zn. Source: the Alexandria database, functional PBEsol.

Calculated values
- Formation enthalpy at 0 K: -0.100 eV per atom
- E_tot: -0.2721 Ry/atom
- Total moment: 0.000 μB/atom

Unit cell a=3.806 b=3.806 c=8.649 alpha=90.00 beta=90.00 gamma=90.00
Space group P4/mmm (No. 123)
Asymmetric unit:
Ca (0.000, 0.000, 0.000) (multiplicity 1)
La (0.500, 0.500, 0.310) (multiplicity 2)
Zn (0.000, 0.000, 0.500) (multiplicity 1)

---

Entry 2:
A relaxed structure of Li2MnCrO4. Source: the Alexandria database, functional PBEsol.

Calculated values
- E_tot: -0.5534 Ry/atom
- E above lowest polymorph: 0 meV/atom
- Total moment: 0.865 μB/atom
- Raw formation energy: -1.9121 eV per atom

Unit cell a=4.017 b=4.017 c=8.487 alpha=90.00 beta=90.00 gamma=90.00
Space group I-4m2 (No. 119)
Asymmetric unit:
Li (0.000, 0.000, 0.000) (multiplicity 2)
Li (0.000, 0.500, 0.250) (multiplicity 2)
Mn (0.000, 0.500, 0.750) (multiplicity 2)
Cr (0.000, 0.000, 0.500) (multiplicity 2)
O (0.000, 0.000, 0.267) (multiplicity 4)
O (0.000, 0.500, 0.520) (multiplicity 4)

---

Entry 3:
A relaxed structure of Sr2ZnP2F. Source: the Alexandria database, functional PBEsol.

Calculated values
- E_tot: -0.2529 Ry/atom
- Total moment: 0.000 μB/atom
- Raw formation energy: -0.3125 eV per atom

Unit cell a=3.387 b=3.387 c=14.647 alpha=90.00 beta=90.00 gamma=90.00
Space group P4/mmm (No. 123)
Asymmetric unit:
Sr (0.000, 0.000, 0.154) (multiplicity 2)
Zn (0.000, 0.000, 0.500) (multiplicity 1)
P (0.000, 0.000, 0.350) (multiplicity 2)
F (0.000, 0.000, 0.000) (multiplicity 1)